w) VASP calculation (PBE) on crystalline TaGa2Ag at its relaxed geometry.

Geometry as POSCAR:
```
TaGa2Ag
1.0
2.9442 0.0000 0.0000
1.4721 2.5498 0.0000
1.4721 0.8499 9.7586
Ga Ag Ta
2 1 1
Cartesian
1.4721 0.8499 7.1480
4.4164 2.5498 2.6106
0.0000 0.0000 0.0000
2.9442 1.6999 4.8793
```

***

x) VASP calculation (PBE) on crystalline TaGa2Ag at its relaxed geometry.

Geometry as POSCAR:
```
TaGa2Ag
1.0
2.8616 0.0000 0.0000
0.0000 2.8616 0.0000
0.0000 0.0000 8.2658
Ga Ag Ta
2 1 1
Cartesian
0.0000 0.0000 6.1546
0.0000 0.0000 2.1112
1.4308 1.4308 0.0000
1.4308 1.4308 4.1329
```

***

y) VASP calculation (PBE) on crystalline TaGa2Ag at its relaxed geometry.

Geometry as POSCAR:
```
TaGa2Ag
1.0
7.0778 0.0000 0.0000
0.0000 7.0778 0.0000
3.5389 3.5389 2.9019
Ga Ag Ta
4 2 2
Cartesian
5.2095 1.7695 0.7255
1.8683 5.3084 0.7255
5.3084 5.4073 2.1764
8.8473 8.7484 2.1764
3.5389 3.5389 0.0000
3.5389 7.0778 1.4509
0.0000 0.0000 0.0000
7.0778 3.5389 1.4509
```

***

z) VASP calculation (PBE) on crystalline TaGa2Ag at its relaxed geometry.

Geometry as POSCAR:
```
TaGa2Ag
1.0
0.0000 3.2394 3.2394
3.2394 0.0000 3.2394
3.2394 3.2394 0.0000
Ga Ag Ta
2 1 1
Cartesian
1.6197 1.6197 1.6197
4.8591 4.8591 4.8591
0.0000 0.0000 0.0000
3.2394 3.2394 3.2394
```

***

x) ends up most stable, edging out the next structure by 0.105 eV/atom.

***

w) VASP calculation (PBE) on crystalline Tb2Ga3Ag2 at its relaxed geometry.

Geometry as POSCAR:
```
Tb2Ga3Ag2
1.0
4.4315 0.0000 0.0000
-2.2157 5.3456 0.0445
0.0000 -2.7810 6.0781
Tb Ga Ag
2 3 2
Cartesian
2.2157 3.1083 1.4179
0.0000 -0.5438 4.7047
2.2157 0.0000 0.0000
2.2157 -0.1892 2.6240
0.0000 2.7538 3.4986
2.2157 1.6620 4.6078
0.0000 0.9025 1.5148
```

***

x) VASP calculation (PBE) on crystalline Tb2Ga3Ag2 at its relaxed geometry.

Geometry as POSCAR:
```
Tb2Ga3Ag2
1.0
4.1154 0.0000 -0.9812
0.0000 7.3503 0.0000
0.1353 0.0000 9.6891
Tb Ga Ag
4 6 4
Cartesian
0.6774 1.8376 2.8415
3.5733 5.5127 5.8665
4.0063 1.8376 7.6825
0.2445 5.5127 1.0255
0.9975 5.5127 4.1839
3.2533 1.8376 4.5241
2.3071 3.1007 0.5554
1.9437 4.2496 8.1525
1.9437 6.7758 8.1525
2.3071 0.5744 0.5554
2.8736 6.9472 2.9317
1.3771 0.4031 5.7762
1.3771 3.2720 5.7762
2.8736 4.0782 2.9317
```

***

x) ends up most stable, edging out the next structure by 0.039 eV/atom.

***

w) VASP calculation (PBE) on crystalline TbGa4Ag at its relaxed geometry.

Geometry as POSCAR:
```
TbGa4Ag
1.0
-4.2366 -0.5382 0.1855
-2.2022 -1.3912 -5.0796
-1.4479 -5.5196 0.1694
Tb Ga Ag
1 4 1
Cartesian
-0.7240 -2.7598 0.0847
-4.9184 -4.5974 -2.5372
-2.9683 -2.8517 -2.1876
-4.7287 -6.6606 -4.1924
-3.1580 -0.7885 -0.5324
-1.1011 -0.6956 -2.5398
```

***

x) VASP calculation (PBE) on crystalline TbGa4Ag at its relaxed geometry.

Geometry as POSCAR:
```
TbGa4Ag
1.0
5.4923 0.0000 0.0000
2.7461 4.7565 0.0000
2.7461 1.5855 4.4844
Tb Ga Ag
1 4 1
Cartesian
2.7461 1.5855 1.1211
5.4923 3.1710 0.5628
5.4923 1.5876 2.8020
6.8635 3.9627 2.8020
4.1210 3.9627 2.8020
0.0000 0.0000 0.0000
```

***

y) VASP calculation (PBE) on crystalline TbGa4Ag at its relaxed geometry.

Geometry as POSCAR:
```
TbGa4Ag
1.0
-0.9091 -5.1696 -0.0141
1.8274 -0.4560 4.3625
-9.0142 4.3049 1.5777
Tb Ga Ag
2 8 2
Cartesian
0.6887 -4.2197 3.2615
-8.7846 2.8991 2.6645
-7.5084 0.0100 1.9024
-1.9547 -3.6832 1.8364
-0.5875 -1.3306 4.0237
-6.1412 2.3625 4.0897
-5.8389 2.3802 1.3707
-2.7155 -0.8833 2.3806
-2.2570 -3.7009 4.5554
-5.3804 -0.4373 3.5455
-4.9617 -0.4323 0.7818
-3.5934 1.9245 2.9701
```

***

w) ends up most stable, edging out the next structure by 0.095 eV/atom.

***

w) VASP calculation (PBE) on crystalline TbGaAg4 at its relaxed geometry.

Geometry as POSCAR:
```
TbGaAg4
1.0
5.5489 0.0000 0.0000
2.7744 4.8055 0.0000
2.7744 1.6018 4.5306
Tb Ga Ag
1 1 4
Cartesian
2.7744 1.6018 1.1327
0.0000 0.0000 0.0000
5.5489 3.2037 0.5643
5.5489 1.5999 2.8323
6.9378 4.0055 2.8323
4.1600 4.0055 2.8323
```

***

x) VASP calculation (PBE) on crystalline TbGaAg4 at its relaxed geometry.

Geometry as POSCAR:
```
TbGaAg4
1.0
4.9597 0.0000 0.0000
0.0000 7.4082 0.0000
-2.4798 0.0000 6.8171
Tb Ga Ag
2 2 8
Cartesian
0.0000 5.5562 5.1667
2.4798 1.8521 1.6505
0.0000 5.5562 1.9772
2.4798 1.8521 4.8400
0.0000 3.1955 2.9262
2.4798 4.2128 3.8909
0.0000 0.5087 2.9262
2.4798 6.8996 3.8909
2.4798 5.5562 1.2641
0.0000 1.8521 5.5531
0.0000 3.7041 0.0000
0.0000 0.0000 0.0000
```

***

w) ends up most stable, edging out the next structure by 0.105 eV/atom.

***

w) VASP calculation (PBE) on crystalline Tb4Ga3Ag at its relaxed geometry.

Geometry as POSCAR:
```
Tb4Ga3Ag
1.0
4.0661 0.0000 0.0000
0.0000 4.3150 0.0000
0.0000 0.0000 11.1990
Tb Ga Ag
4 3 1
Cartesian
2.0330 2.1575 4.0223
0.0000 2.1575 9.5988
0.0000 0.0000 1.6148
2.0330 0.0000 7.2229
0.0000 2.1575 6.4420
0.0000 0.0000 4.7695
2.0330 0.0000 10.2747
2.0330 2.1575 0.8510
```

***

x) VASP calculation (PBE) on crystalline Tb4Ga3Ag at its relaxed geometry.

Geometry as POSCAR:
```
Tb4Ga3Ag
1.0
5.0867 0.0000 0.0000
0.0000 7.2758 0.0000
0.0000 0.0000 10.1737
Tb Ag Ga
8 2 6
Cartesian
2.5433 5.4854 0.0000
2.5433 5.4854 5.0869
2.5433 1.7904 0.0000
2.5433 1.7904 5.0869
5.0854 5.4853 7.6303
0.0013 5.4853 2.5434
0.0013 1.7905 2.5434
5.0854 1.7905 7.6303
0.0000 3.6379 0.0000
0.0000 3.6379 5.0869
0.0000 0.0000 0.0000
0.0000 0.0000 5.0869
2.5412 0.0000 7.6303
2.5455 0.0000 2.5434
2.5427 3.6379 7.6303
2.5440 3.6379 2.5434
```

***

x) ends up most stable, edging out the next structure by 0.016 eV/atom.

***

w) VASP calculation (PBE) on crystalline Tb2GaAg3 at its relaxed geometry.

Geometry as POSCAR:
```
Tb2GaAg3
1.0
-1.3562 -1.3039 5.4943
-0.0080 -5.7871 0.4867
8.6146 3.7022 -0.9952
Tb Ga Ag
4 2 6
Cartesian
3.2881 -0.5735 3.7448
-1.0240 -2.4087 4.2602
3.9622 -2.8151 1.2410
-0.3403 -4.6822 1.7208
1.9578 -3.4933 3.6545
5.2925 0.1046 1.3313
0.3312 -5.2479 4.7875
6.2537 -1.5989 3.1151
6.9191 1.8593 0.1983
0.9966 -1.7898 1.8706
2.7073 0.0535 0.6810
4.5430 -3.4422 4.3048
```

***

x) VASP calculation (PBE) on crystalline Tb2GaAg3 at its relaxed geometry.

Geometry as POSCAR:
```
Tb2GaAg3
1.0
3.5856 0.0000 -0.9544
-0.3138 4.1486 -1.1790
0.5098 0.3789 9.1277
Tb Ga Ag
2 1 3
Cartesian
0.5025 0.5745 1.8877
3.4297 1.8715 5.6723
1.8165 4.3306 6.8244
2.4738 3.0323 2.0812
1.7985 2.2602 -0.4557
1.1668 3.5877 4.3834
```

***

w) ends up most stable, edging out the next structure by 0.092 eV/atom.

***

w) VASP calculation (PBE) on crystalline Ga2TcAg at its relaxed geometry.

Geometry as POSCAR:
```
Ga2TcAg
1.0
4.0481 0.0000 0.0000
0.0000 4.0481 0.0000
2.0241 2.0241 8.7761
Ga Tc Ag
4 2 2
Cartesian
2.9016 1.0120 2.1940
1.1465 3.0361 2.1940
3.0361 3.1705 6.5821
5.0601 4.9257 6.5821
2.0241 2.0241 0.0000
2.0241 4.0481 4.3881
0.0000 0.0000 0.0000
4.0481 2.0241 4.3881
```

***

x) VASP calculation (PBE) on crystalline Ga2TcAg at its relaxed geometry.

Geometry as POSCAR:
```
Ga2TcAg
1.0
-0.6447 -1.3554 -2.5015
-0.9971 -2.7412 0.0412
-8.7328 1.6192 -0.3276
Ga Tc Ag
2 1 1
Cartesian
-2.4491 -0.6721 -0.7057
-7.9255 -1.8053 -2.0822
0.0000 0.0000 0.0000
-5.1873 -1.2387 -1.3939
```

***

y) VASP calculation (PBE) on crystalline Ga2TcAg at its relaxed geometry.

Geometry as POSCAR:
```
Ga2TcAg
1.0
4.3622 0.9159 0.3050
2.9743 3.3198 0.3050
2.8978 1.6730 5.8419
Ga Tc Ag
2 1 1
Cartesian
2.6843 1.5498 4.5536
2.8956 1.6718 1.5025
7.9142 4.5693 6.2038
4.7551 2.7454 3.2598
```

***

z) VASP calculation (PBE) on crystalline Ga2TcAg at its relaxed geometry.

Geometry as POSCAR:
```
Ga2TcAg
1.0
-2.0907 2.4355 0.7261
-2.0254 -0.6158 -3.7660
-2.6513 -2.8394 1.8902
Ga Tc Ag
2 1 1
Cartesian
-1.3256 -1.4197 0.9451
-1.0127 -0.3079 -1.8830
-3.3837 -0.5098 -0.5749
-1.0453 1.2178 0.3631
```

***

z) ends up most stable, edging out the next structure by 0.013 eV/atom.

***

w) VASP calculation (PBE) on crystalline Ga2Tc2Ag at its relaxed geometry.

Geometry as POSCAR:
```
Ga2Tc2Ag
1.0
-7.0469 -2.2589 0.6768
1.3750 -2.2036 6.9623
-0.7588 2.6647 0.9932
Ga Tc Ag
4 4 2
Cartesian
-0.7214 -0.5794 5.3643
-4.0565 -2.0107 6.6564
-5.7093 -1.2183 3.2679
-2.3742 0.2129 1.9759
-1.5099 -2.8306 6.4405
-5.4112 -3.3545 4.8656
-4.1621 -1.6319 1.1985
-0.2608 -1.1080 2.7734
0.0000 0.0000 0.0000
-2.8360 -2.2312 3.8195
```

***

x) VASP calculation (PBE) on crystalline Ga2Tc2Ag at its relaxed geometry.

Geometry as POSCAR:
```
Ga2Tc2Ag
1.0
6.7858 0.0000 0.0000
0.0000 6.7858 0.0000
0.0000 0.0000 3.3561
Ga Tc Ag
4 4 2
Cartesian
2.4790 5.8720 0.0000
5.8720 4.3068 0.0000
4.3068 0.9139 0.0000
0.9139 2.4790 0.0000
1.1053 4.4982 1.6781
4.4982 5.6805 1.6781
5.6805 2.2876 1.6781
2.2876 1.1053 1.6781
0.0000 0.0000 0.0000
3.3929 3.3929 0.0000
```

***

w) ends up most stable, edging out the next structure by 0.048 eV/atom.

***

w) VASP calculation (PBE) on crystalline GaAg3Te4 at its relaxed geometry.

Geometry as POSCAR:
```
GaAg3Te4
1.0
7.5342 0.0000 0.0000
0.0000 7.6399 0.0000
0.0000 0.0000 8.7754
Ga Ag Te
2 6 8
Cartesian
0.0253 1.2761 0.0000
3.7924 6.3638 4.3877
3.7272 6.4354 0.0000
7.4858 5.1006 2.2060
3.7187 2.5393 2.1817
7.4943 1.2045 4.3877
3.7187 2.5393 6.5938
7.4858 5.1006 6.5694
0.9688 6.4223 0.0000
4.8813 1.2991 0.0000
0.9552 2.5125 2.1567
4.7223 5.1274 2.2310
1.1142 6.3408 4.3877
4.7359 1.2176 4.3877
4.7223 5.1274 6.5444
0.9552 2.5125 6.6187
```

***

x) VASP calculation (PBE) on crystalline GaAg3Te4 at its relaxed geometry.

Geometry as POSCAR:
```
GaAg3Te4
1.0
5.6617 0.0000 -2.7452
-1.3311 5.5030 -2.7452
0.2703 0.3435 7.7685
Te Ag Ga
4 3 1
Cartesian
1.6433 2.0882 -0.1131
3.8706 4.9185 -2.9369
0.0457 3.7584 3.8030
3.6423 0.9280 3.8030
2.1653 2.7515 -2.7452
4.0487 1.5475 1.1390
0.5523 4.2990 1.1390
0.0000 0.0000 0.0000
```

***

x) ends up most stable, edging out the next structure by 0.012 eV/atom.